The following is a DFT calculation (GGA-PBEsol) of crystalline Mg2TlGa2 at its relaxed geometry.

Structure (CIF):
```
data_Mg2TlGa2
_space_group_name_H-M_alt 'P 4/m b m'
_space_group_IT_number 127
_space_group_name_Hall '-P 4 2ab'
_cell_length_a 8.105
_cell_length_b 8.105
_cell_length_c 3.153
_cell_angle_alpha 90.00
_cell_angle_beta 90.00
_cell_angle_gamma 90.00
loop_
_atom_site_label
_atom_site_type_symbol
_atom_site_fract_x
_atom_site_fract_y
_atom_site_fract_z
Mg1 Mg 0.182 0.318 0.000
Tl1 Tl 0.000 0.000 0.500
Ga1 Ga 0.114 0.614 0.500
```

Properties
Polymorph energy (0 for the lowest one) in eV/f.u.: 0.00
V in Å³/cell: 207.1
Total moment in μB/atom: 0.000